Entry from the Alexandria database: BaInMoF6 after structural relaxation (PBE+U).

CIF file:
```
data_BaInMoF6
_symmetry_space_group_name_H-M 'P -3 1 c'
_symmetry_Int_Tables_number 163
_symmetry_space_group_name_Hall '-P 3 2c'
_cell_length_a 6.6772
_cell_length_b 6.6772
_cell_length_c 8.9902
_cell_angle_alpha 90.00
_cell_angle_beta 90.00
_cell_angle_gamma 120.00
loop_
_atom_site_label
_atom_site_type_symbol
_atom_site_fract_x
_atom_site_fract_y
_atom_site_fract_z
_atom_site_occupancy
Ba1 Ba 0.3333 0.6667 0.2500 1
In1 In 0.0000 0.0000 0.0000 1
Mo1 Mo 0.3333 0.6667 0.7500 1
F1 F 0.0604 0.3990 0.6285 1
```

Properties
ρ = 4.42 Mg/m³
E = -5.335 eV/atom
Fermi-level density of states = 0.00 states/eV/f.u.